No. 1
PmNpU2As4: optimized geometry, PBE.

abc: 7.140 7.136 5.828
angles: 65.94 65.87 48.19
Fractional positions:
Pm1 0.000 0.000 0.000
Np1 0.750 0.750 0.750
U1 0.250 0.250 0.250
U2 0.500 0.500 0.500
As1 0.002 0.002 0.498
As2 0.255 0.255 0.745
As3 0.498 0.498 0.002
As4 0.745 0.745 0.255

Results
- calculated formation energy (eV/f.u.) = -7.00
- DOS(E_F) (states/eV/f.u.) = 28.19
- DFT total energy (eV per atom) = -8.2330

***

No. 2
Pm2NpUAs4: optimized geometry, PBE.

abc: 7.162 4.140 7.282
angles: 90.00 109.17 90.00
Fractional positions:
Pm1 0.000 0.000 0.000
Pm2 0.500 0.500 0.000
Np1 0.000 0.500 0.500
U1 0.500 0.000 0.500
As1 0.248 0.000 0.739
As2 0.255 0.500 0.261
As3 0.745 0.500 0.739
As4 0.752 0.000 0.261

Results
- calculated formation energy (eV/f.u.) = -8.93
- DOS(E_F) (states/eV/f.u.) = 12.64
- DFT total energy (eV per atom) = -7.6579

***

No. 3
PmY2NpAs4: optimized geometry, PBE.

abc: 7.177 4.144 7.187
angles: 90.00 109.35 90.00
Fractional positions:
Pm1 0.000 0.000 0.000
Y1 0.500 0.000 0.500
Y2 0.500 0.500 0.000
Np1 0.000 0.500 0.500
As1 0.250 0.000 0.745
As2 0.252 0.500 0.257
As3 0.748 0.500 0.743
As4 0.750 0.000 0.255

Results
- calculated formation energy (eV/f.u.) = -10.56
- DOS(E_F) (states/eV/f.u.) = 11.70
- DFT total energy (eV per atom) = -7.4718

***

No. 4
Pm2YNpAs4: optimized geometry, PBE.

abc: 7.224 4.170 7.233
angles: 90.00 109.30 90.00
Fractional positions:
Pm1 0.000 0.000 0.000
Pm2 0.500 0.500 0.000
Y1 0.000 0.500 0.500
Np1 0.500 0.000 0.500
As1 0.250 0.000 0.741
As2 0.255 0.500 0.260
As3 0.745 0.500 0.740
As4 0.750 0.000 0.259

Results
- calculated formation energy (eV/f.u.) = -10.52
- DOS(E_F) (states/eV/f.u.) = 11.93
- DFT total energy (eV per atom) = -7.2525

***

No. 5
PrNp5As6: optimized geometry, PBE.

abc: 7.169 7.169 7.180
angles: 99.59 99.59 120.04
Fractional positions:
Pr1 0.000 0.000 0.000
Np1 0.163 0.837 0.500
Np2 0.332 0.668 0.000
Np3 0.500 0.500 0.500
Np4 0.668 0.332 0.000
Np5 0.837 0.163 0.500
As1 0.086 0.428 0.256
As2 0.258 0.258 0.747
As3 0.428 0.086 0.256
As4 0.572 0.914 0.744
As5 0.742 0.742 0.253
As6 0.914 0.572 0.744

Results
- calculated formation energy (eV/f.u.) = -9.73
- DOS(E_F) (states/eV/f.u.) = 43.95
- DFT total energy (eV per atom) = -8.9262

***

No. 6
PrNpAs2: optimized geometry, PBE.

abc: 7.313 7.313 7.313
angles: 33.32 33.32 33.32
Fractional positions:
Pr1 0.000 0.000 0.000
Np1 0.500 0.500 0.500
As1 0.245 0.245 0.245
As2 0.755 0.755 0.755

Results
- calculated formation energy (eV/f.u.) = -4.32
- DOS(E_F) (states/eV/f.u.) = 10.83
- DFT total energy (eV per atom) = -7.8353
- relative energy among the computed polymorphs (meV per atom) = 0

***

No. 7
Pr5NpAs6: optimized geometry, PBE.

abc: 7.401 7.401 7.401
angles: 99.60 99.60 120.00
Fractional positions:
Pr1 0.000 0.000 0.000
Pr2 0.166 0.834 0.500
Pr3 0.331 0.669 0.000
Pr4 0.669 0.331 0.000
Pr5 0.834 0.166 0.500
Np1 0.500 0.500 0.500
As1 0.095 0.419 0.256
As2 0.258 0.258 0.744
As3 0.419 0.095 0.256
As4 0.581 0.905 0.744
As5 0.742 0.742 0.256
As6 0.905 0.581 0.744

Results
- calculated formation energy (eV/f.u.) = -16.28
- DOS(E_F) (states/eV/f.u.) = 11.54
- DFT total energy (eV per atom) = -6.7511

***

No. 8
PrNpAs2: optimized geometry, PBE.

abc: 7.564 7.564 7.564
angles: 31.86 31.86 31.86
Fractional positions:
Pr1 0.000 0.000 0.000
Np1 0.172 0.172 0.172
As1 0.580 0.580 0.580
As2 0.759 0.759 0.759

Results
- calculated formation energy (eV/f.u.) = -3.77
- DOS(E_F) (states/eV/f.u.) = 9.06
- DFT total energy (eV per atom) = -7.6977
- relative energy among the computed polymorphs (meV per atom) = 138